1.
The following is a PBE calculation of crystalline Pm3PuRh3 at its relaxed geometry, from Alexandria.

The structure in POSCAR format:
```
Pm3PuRh3
1.0
-1.339 -3.488 1.750
3.193 -0.971 5.371
-9.780 5.330 8.003
Rh Pm Pu
6 6 2
Direct
0.121 0.827 0.932 Rh
0.879 0.173 0.068 Rh
0.878 0.694 0.550 Rh
0.969 0.838 0.224 Rh
0.031 0.162 0.776 Rh
0.122 0.306 0.450 Rh
0.609 0.708 0.073 Pm
0.724 0.760 0.792 Pm
0.276 0.240 0.208 Pm
0.391 0.292 0.927 Pm
0.490 0.380 0.640 Pm
0.510 0.620 0.360 Pm
0.779 0.041 0.402 Pu
0.221 0.959 0.598 Pu
```

***

2.
The following is a PBE calculation of crystalline Pm3PuRh3 at its relaxed geometry, from Alexandria.

The structure in POSCAR format:
```
Pm3PuRh3
1.0
6.843 1.351 0.413
-1.839 6.728 0.413
-0.308 -0.498 7.017
Pm Rh Pu
6 6 2
Direct
0.326 0.326 0.608 Pm
0.180 0.820 0.500 Pm
0.738 0.262 0.000 Pm
0.262 0.738 0.000 Pm
0.820 0.180 0.500 Pm
0.674 0.674 0.392 Pm
0.016 0.494 0.278 Rh
0.064 0.064 0.805 Rh
0.936 0.936 0.195 Rh
0.506 0.984 0.722 Rh
0.494 0.016 0.278 Rh
0.984 0.506 0.722 Rh
0.231 0.231 0.127 Pu
0.769 0.769 0.873 Pu
```

***

3.
The following is a PBE calculation of crystalline PmPu2Rh3 at its relaxed geometry, from Alexandria.

The structure in POSCAR format:
```
PmPu2Rh3
1.0
-0.340 1.943 -2.839
-1.264 -3.956 -2.556
-6.434 3.165 2.937
Rh Pm Pu
3 1 2
Direct
0.500 0.175 0.351 Rh
0.500 0.500 0.000 Rh
0.500 0.825 0.649 Rh
0.000 0.000 0.000 Pm
0.000 0.666 0.331 Pu
0.000 0.334 0.669 Pu
```

***

4.
The following is a PBE calculation of crystalline Pm2PuRh2 at its relaxed geometry, from Alexandria.

The structure in POSCAR format:
```
Pm2PuRh2
1.0
-1.673 5.799 -0.587
-5.661 1.781 1.248
0.852 2.517 7.362
Rh Pm Pu
4 4 2
Direct
0.272 0.005 0.494 Rh
0.005 0.272 0.994 Rh
0.728 0.995 0.506 Rh
0.995 0.728 0.006 Rh
0.778 0.524 0.350 Pm
0.222 0.476 0.650 Pm
0.524 0.778 0.850 Pm
0.476 0.222 0.150 Pm
0.872 0.128 0.750 Pu
0.128 0.872 0.250 Pu
```

***

5.
The following is a PBE calculation of crystalline PmPuRh at its relaxed geometry, from Alexandria.

The structure in POSCAR format:
```
PmPuRh
1.0
3.593 0.000 0.000
0.000 3.593 0.000
-1.797 -1.797 5.631
Rh Pu Pm
1 1 1
Direct
0.680 0.680 0.360 Rh
0.303 0.303 0.605 Pu
0.018 0.018 0.035 Pm
```

***

6.
The following is a PBE calculation of crystalline Pm5Pu2Rh4 at its relaxed geometry, from Alexandria.

The structure in POSCAR format:
```
Pm5Pu2Rh4
1.0
-2.499 2.230 -1.428
-4.229 -1.337 5.314
5.815 8.028 7.006
Rh Pm Pu
4 5 2
Direct
0.026 0.693 0.052 Rh
0.333 0.469 0.666 Rh
0.667 0.531 0.334 Rh
0.974 0.307 0.948 Rh
0.135 0.843 0.269 Pm
0.229 0.279 0.458 Pm
0.500 0.000 0.000 Pm
0.865 0.157 0.731 Pm
0.771 0.721 0.542 Pm
0.086 0.359 0.172 Pu
0.914 0.641 0.828 Pu
```

***

7.
The following is a PBE calculation of crystalline PmPu4Rh4 at its relaxed geometry, from Alexandria.

The structure in POSCAR format:
```
PmPu4Rh4
1.0
-1.417 -2.710 -2.878
1.796 -6.822 5.539
-8.250 0.638 3.461
Rh Pu Pm
8 8 2
Direct
0.499 0.795 0.862 Rh
0.999 0.638 0.295 Rh
0.501 0.862 0.205 Rh
0.499 0.205 0.138 Rh
0.001 0.295 0.362 Rh
0.001 0.705 0.638 Rh
0.501 0.138 0.795 Rh
0.999 0.362 0.705 Rh
0.497 0.441 0.876 Pu
0.997 0.376 0.059 Pu
0.503 0.124 0.441 Pu
0.003 0.941 0.376 Pu
0.503 0.876 0.559 Pu
0.497 0.559 0.124 Pu
0.997 0.624 0.941 Pu
0.003 0.059 0.624 Pu
0.000 0.000 0.000 Pm
0.500 0.500 0.500 Pm
```

***

8.
The following is a PBE calculation of crystalline Pm2Pu2Rh15 at its relaxed geometry, from Alexandria.

The structure in POSCAR format:
```
Pm2Pu2Rh15
1.0
6.940 0.013 0.011
0.913 6.879 0.011
0.913 0.801 6.833
Pu Rh Pm
2 15 2
Direct
0.899 0.899 0.899 Pu
0.101 0.101 0.101 Pu
0.654 0.654 0.160 Rh
0.691 0.309 0.000 Rh
0.346 0.346 0.840 Rh
0.500 0.000 0.000 Rh
0.309 0.000 0.691 Rh
0.691 0.000 0.309 Rh
0.309 0.691 0.000 Rh
0.000 0.691 0.309 Rh
0.346 0.840 0.346 Rh
0.000 0.000 0.500 Rh
0.654 0.160 0.654 Rh
0.840 0.346 0.346 Rh
0.000 0.309 0.691 Rh
0.160 0.654 0.654 Rh
0.000 0.500 0.000 Rh
0.643 0.643 0.643 Pm
0.357 0.357 0.357 Pm
```

***

9.
The following is a PBE calculation of crystalline PmPu5Rh6 at its relaxed geometry, from Alexandria.

The structure in POSCAR format:
```
PmPu5Rh6
1.0
4.666 0.017 -1.360
-0.940 6.046 -3.149
-0.079 0.456 8.417
Pm Pu Rh
1 5 6
Direct
0.000 0.000 0.000 Pm
0.668 0.668 0.337 Pu
0.332 0.332 0.663 Pu
0.665 0.165 0.329 Pu
0.335 0.835 0.671 Pu
0.000 0.500 0.000 Pu
0.172 0.915 0.344 Rh
0.828 0.571 0.656 Rh
0.828 0.085 0.656 Rh
0.172 0.429 0.344 Rh
0.500 0.263 0.000 Rh
0.500 0.737 0.000 Rh
```

***

10.
The following is a PBE calculation of crystalline Pm2PuRh2 at its relaxed geometry, from Alexandria.

The structure in POSCAR format:
```
Pm2PuRh2
1.0
5.950 0.000 0.000
0.000 7.985 0.000
-2.975 -3.992 5.344
Rh Pm Pu
4 4 2
Direct
0.408 0.687 0.816 Rh
0.908 0.129 0.816 Rh
0.592 0.313 0.184 Rh
0.092 0.871 0.184 Rh
0.333 0.970 0.667 Pm
0.667 0.030 0.333 Pm
0.833 0.697 0.667 Pm
0.167 0.303 0.333 Pm
0.750 0.500 0.000 Pu
0.250 0.500 0.000 Pu
```

***

no.,electronic total energy (eV per atom),N(E_F) (states/eV per atom),E_form (eV/f.u.)
1,-7.796,1.564,-3.94
2,-7.734,1.747,-3.50
3,-9.735,3.198,-2.94
4,-8.264,1.682,-2.78
5,-9.108,2.839,-0.89
6,-7.688,2.305,-2.75
7,-10.111,1.986,0.48
8,-8.107,1.872,-5.60
9,-10.472,3.972,-5.14
10,-8.147,2.271,-2.20